[1]
Here is a relaxed KAcCdSn crystal from Alexandria. Energies are from PBE-GGA.

Structure (POSCAR):
```
KAcCdSn
1.0
-0.920 1.468 -5.526
-5.308 1.519 -1.747
-1.127 5.509 -1.383
Ac K Cd Sn
1 1 1 1
Cartesian
-3.678 4.248 -4.328
0.000 0.000 0.000
-1.839 2.124 -2.164
-5.517 6.372 -6.492
```

Computed properties:
Space group: No. 216
Total magnetic moment: 0.0 μB per cell
Formation energy: -288.3 meV/atom
Fermi-level density of states: 0.267 states/eV per atom
Theoretical density: 6.01 g/cm³

[2]
Here is a relaxed CaMo3Rh crystal from Alexandria. Energies are from PBE-GGA.

Structure (POSCAR):
```
CaMo3Rh
1.0
4.814 0.000 0.000
0.000 4.814 0.000
0.000 0.000 4.814
Mo Ca Rh
3 1 1
Cartesian
0.000 2.407 0.000
2.407 0.000 0.000
0.000 0.000 2.407
2.407 2.407 2.407
0.000 0.000 0.000
```

Computed properties:
Distance to the lowest polymorph of the same formula: 0.0 kJ/mol of atoms
Space group: No. 221
Total magnetic moment: 1.7 μB per cell
Formation energy: 1335.3 meV/atom
Fermi-level density of states: 1.206 states/eV per atom
Theoretical density: 6.41 g/cm³

[3]
Here is a relaxed MgAgW2Br crystal from Alexandria. Energies are from PBE-GGA.

Structure (POSCAR):
```
MgAgW2Br
1.0
-1.631 4.167 1.285
-0.859 -1.768 4.642
4.288 1.282 1.282
Ag W Mg Br
1 2 1 1
Cartesian
-0.430 -0.884 2.321
-0.815 2.084 0.643
2.144 0.641 0.641
0.899 1.841 3.605
0.000 0.000 0.000
```

Computed properties:
Space group: No. 123
Total magnetic moment: 1.4 μB per cell
Raw formation energy: 1870 meV/atom
Fermi-level density of states: 1.032 states/eV per atom
Theoretical density: 8.81 g/cm³

[4]
Here is a relaxed Tb3Ho8Sc2 crystal from Alexandria. Energies are from PBE-GGA.

Structure (POSCAR):
```
Tb3Ho8Sc2
1.0
5.487 0.000 0.802
0.000 7.631 -0.002
-1.405 -3.818 9.609
Sc Ho Tb
2 8 3
Cartesian
2.068 -0.002 5.031
2.015 3.814 5.378
4.991 3.815 4.191
-0.380 -0.001 2.602
4.463 3.813 7.806
2.428 5.413 2.562
-0.908 -0.003 6.218
2.427 2.215 2.563
1.655 -1.601 7.847
1.655 1.598 7.846
-1.404 1.615 9.607
2.743 0.000 0.401
0.000 2.198 -0.001
```

Computed properties:
Distance to the lowest polymorph of the same formula: 0.4 kJ/mol of atoms
Space group: No. 65
Total magnetic moment: 0.0 μB per cell
Formation energy: 240.5 meV/atom
Fermi-level density of states: 1.454 states/eV per atom
Theoretical density: 7.62 g/cm³

[5]
Here is a relaxed Pa4P5H crystal from Alexandria. Energies are from PBE-GGA.

Structure (POSCAR):
```
Pa4P5H
1.0
4.124 0.000 0.000
0.000 6.318 -2.761
-2.062 -3.483 9.658
P Pa H
5 4 1
Cartesian
2.062 2.042 4.784
2.062 3.159 -1.381
2.062 -1.222 6.191
0.000 4.058 0.706
0.000 0.794 2.113
0.000 1.579 -0.590
2.062 -0.422 3.611
2.062 1.257 7.487
0.000 3.257 3.286
2.062 0.000 0.000
```

Computed properties:
Space group: No. 12
Total magnetic moment: 0.0 μB per cell
VASP energy: -76.41 eV per formula unit
Fermi-level density of states: 0.985 states/eV per atom
Theoretical density: 8.46 g/cm³

[6]
Here is a relaxed CsThF5 crystal from Alexandria. Energies are from PBE-GGA.

Structure (POSCAR):
```
CsThF5
1.0
4.493 -0.076 1.278
0.366 6.523 0.104
-0.236 -0.038 9.370
F Th Cs
10 2 2
Cartesian
1.225 5.921 9.207
0.503 0.202 6.469
3.398 0.488 1.544
2.036 4.854 2.423
0.845 2.984 6.566
3.778 3.425 4.185
3.649 3.712 9.896
2.587 1.555 8.328
4.121 6.207 4.282
0.974 2.697 0.855
0.198 1.593 8.191
4.425 4.816 2.560
3.185 4.816 6.920
1.438 1.593 3.832
```

Computed properties:
Space group: No. 15
Total magnetic moment: 0.0 μB per cell
Raw formation energy: -3818 meV/atom
Fermi-level density of states: 0.000 states/eV per atom
Theoretical density: 5.52 g/cm³

[7]
Here is a relaxed Sr2TlCdPd6 crystal from Alexandria. Energies are from PBE-GGA.

Structure (POSCAR):
```
Sr2TlCdPd6
1.0
7.188 0.000 0.000
0.000 7.188 0.000
3.594 3.594 5.083
Pd Cd Sr Tl
6 1 2 1
Cartesian
1.786 1.786 0.000
7.188 7.187 2.525
1.786 5.402 0.000
5.402 1.785 0.000
3.594 3.594 2.557
8.996 8.995 5.083
0.000 0.000 0.000
3.594 7.188 2.541
7.188 3.593 2.541
3.594 3.594 0.000
```

Computed properties:
Space group: No. 225
Total magnetic moment: 0.0 μB per cell
Formation energy: 36.4 meV/atom
Fermi-level density of states: 0.534 states/eV per atom
Theoretical density: 7.15 g/cm³

[8]
Here is a relaxed RuPtSe2 crystal from Alexandria. Energies are from PBE-GGA.

Structure (POSCAR):
```
RuPtSe2
1.0
4.153 0.000 0.000
0.000 2.781 -0.013
0.000 -2.757 6.162
Se Ru Pt
2 1 1
Cartesian
0.000 0.006 6.081
0.000 0.031 3.142
2.076 0.018 4.612
2.076 0.006 1.537
```

Computed properties:
Distance to the lowest polymorph of the same formula: 38.7 kJ/mol of atoms
Space group: No. 10
Total magnetic moment: 0.6 μB per cell
Raw formation energy: 323 meV/atom
Fermi-level density of states: 1.126 states/eV per atom
Theoretical density: 10.62 g/cm³